Record 1
A plane-wave DFT calculation with meta-GGA SCAN was carried out for a PBEsol-optimized structure of ScHgRh2.

Structure (extended XYZ):
```
4
Lattice="2.985 0.000 0.000 1.493 2.585 0.000 1.493 0.862 8.608" Properties=species:S:1:pos:R:3 pbc="T T T"
Hg 0.000 0.000 0.000
Rh 1.493 0.862 2.298
Rh 4.478 2.585 6.310
Sc 2.985 1.724 4.304
```

Values from the calculation:
As for the energy of formation: -0.292 eV/atom. As for the symmetry: R-3m (166).

=====

Record 2
A plane-wave DFT calculation with meta-GGA SCAN was carried out for a PBEsol-optimized structure of Be2ReO.

Structure (extended XYZ):
```
8
Lattice="4.782 0.009 0.013 -2.235 4.228 -0.013 -2.235 -1.540 3.937" Properties=species:S:1:pos:R:3 pbc="T T T"
Re 0.000 0.000 0.000
Re 0.156 2.790 0.981
O -2.235 1.344 1.962
O 0.156 -0.094 2.956
Be -2.452 2.916 1.995
Be 1.647 0.452 2.923
Be -0.744 1.116 2.459
Be 2.174 0.908 0.497
```

Values from the calculation:
As for the symmetry: I-42d (122). The calculation puts the raw formation energy at -0.514 eV/atom.

=====

Record 3
A plane-wave DFT calculation with meta-GGA SCAN was carried out for a PBEsol-optimized structure of ZnSbI2N.

Structure (extended XYZ):
```
5
Lattice="3.932 0.000 0.000 0.000 6.017 0.000 0.000 0.000 6.017" Properties=species:S:1:pos:R:3 pbc="T T T"
I 0.000 0.000 3.008
I 0.000 3.008 0.000
Sb 0.000 0.000 0.000
Zn 1.966 3.008 3.008
N 1.966 0.000 0.000
```

Values from the calculation:
As for the symmetry: P4/mmm (123). The calculation puts the raw formation energy at 0.743 eV/atom. The calculation puts the energy above the most stable polymorph in this dataset at 0.0 kJ/mol of atoms.

=====

Record 4
A plane-wave DFT calculation with meta-GGA SCAN was carried out for a PBEsol-optimized structure of Ni3PtPb.

Structure (extended XYZ):
```
5
Lattice="-4.045 -0.683 2.031 1.614 -3.825 1.929 1.409 2.420 3.621" Properties=species:S:1:pos:R:3 pbc="T T T"
Pb 0.000 0.000 0.000
Ni 0.807 -1.912 0.964
Ni 0.705 1.210 1.810
Ni -2.023 -0.342 1.016
Pt -0.511 -1.044 3.790
```

Values from the calculation:
As for the energy of formation: 1.583 eV/atom. As for the symmetry: Pm-3m (221).

=====

Record 5
A plane-wave DFT calculation with meta-GGA SCAN was carried out for a PBEsol-optimized structure of ZnSnMo2As.

Structure (extended XYZ):
```
5
Lattice="5.030 0.000 0.000 0.000 5.083 0.000 0.000 0.000 5.083" Properties=species:S:1:pos:R:3 pbc="T T T"
As 2.515 0.000 0.000
Mo 0.000 0.000 2.542
Mo 0.000 2.542 0.000
Sn 0.000 0.000 0.000
Zn 2.515 2.542 2.542
```

Values from the calculation:
As for the energy of formation: 1.946 eV/atom. As for the symmetry: P4/mmm (123).

=====

Record 6
A plane-wave DFT calculation with meta-GGA SCAN was carried out for a PBEsol-optimized structure of MgTePb.

Structure (extended XYZ):
```
3
Lattice="-1.990 3.560 0.775 -1.425 -2.581 -2.923 -3.304 -2.722 4.014" Properties=species:S:1:pos:R:3 pbc="T T T"
Mg -0.114 -0.094 0.138
Pb -3.827 -2.357 0.999
Te -2.779 0.708 0.730
```

Values from the calculation:
As for the symmetry: P3m1 (156). The calculation puts the raw formation energy at -0.262 eV/atom.